1.
DFT (GGA-PBE) results for In2Hg2S after structural relaxation.

distance to the lowest polymorph of the same formula: 0 meV per atom
magnetic moment: 0.00 μB/f.u.
space-group type: No. 166
formation energy (no corrections): -0.183 eV per atom

Cell: 3.972 3.972 9.924 Å, 78.46 78.46 60.00°
Fractional positions:
S 0.000 0.000 0.000
Hg 0.202 0.202 0.394
In 0.608 0.608 0.176
In 0.392 0.392 0.824
Hg 0.798 0.798 0.606



2.
DFT (GGA-PBE) results for InHgS2 after structural relaxation.

magnetic moment: 0.00 μB/f.u.
space-group type: No. 160
formation energy (no corrections): -0.230 eV per atom

Cell: 3.848 3.848 7.369 Å, 74.86 74.86 60.00°
Fractional positions:
Hg 0.498 0.498 0.507
S 0.072 0.072 0.783
S 0.263 0.263 0.212
In 0.667 0.667 0.998



3.
DFT (GGA-PBE) results for InHgS2 after structural relaxation.

magnetic moment: 0.00 μB/f.u.
space-group type: No. 122
formation energy (no corrections): -0.229 eV per atom

Cell: 6.295 6.295 7.344 Å, 64.62 64.62 90.00°
Fractional positions:
S 0.375 0.406 0.750
S 0.594 0.125 0.250
S 0.156 0.625 0.250
In 0.500 0.500 0.000
In 0.250 0.750 0.500
Hg 0.000 0.000 0.000
S 0.875 0.844 0.750
Hg 0.750 0.250 0.500



4.
DFT (GGA-PBE) results for InHgS after structural relaxation.

distance to the lowest polymorph of the same formula: 0 meV per atom
magnetic moment: 0.00 μB/f.u.
space-group type: No. 1
formation energy (no corrections): -0.311 eV per atom

Cell: 3.949 5.925 10.623 Å, 87.11 123.81 70.56°
Fractional positions:
Hg 0.146 0.047 0.061
In 0.209 0.497 0.582
In 0.610 0.971 0.674
Hg 0.658 0.423 0.195
S 0.449 0.706 0.812
S 0.370 0.763 0.444



5.
DFT (GGA-PBE) results for In2Hg2S after structural relaxation.

distance to the lowest polymorph of the same formula: 125 meV per atom
magnetic moment: 0.00 μB/f.u.
space-group type: No. 127
formation energy (no corrections): -0.058 eV per atom

Cell: 7.333 7.333 5.130 Å, 90.00 90.00 90.00°
Fractional positions:
S 0.000 0.000 0.000
In 0.151 0.349 0.000
Hg 0.833 0.333 0.500
Hg 0.167 0.667 0.500
In 0.849 0.651 0.000
Hg 0.333 0.167 0.500
In 0.349 0.849 0.000
Hg 0.667 0.833 0.500
In 0.651 0.151 0.000
S 0.500 0.500 0.000



6.
DFT (GGA-PBE) results for InHgS after structural relaxation.

distance to the lowest polymorph of the same formula: 38 meV per atom
magnetic moment: 0.00 μB/f.u.
space-group type: No. 12
formation energy (no corrections): -0.273 eV per atom

Cell: 3.919 7.988 6.689 Å, 100.95 107.04 90.00°
Fractional positions:
Hg 0.455 0.141 0.910
S 0.864 0.626 0.728
Hg 0.545 0.859 0.090
In 0.655 0.592 0.311
S 0.136 0.374 0.272
In 0.345 0.408 0.689